VASP calculation (PBE) on an optimized crystal structure of Ag4Sb5.

N(E_F)   6.828 states/eV/cell
Space-group type   P6_3/mcm
E_form (uncorrected)   0.24 eV per atom

abc: 8.8647 8.8647 6.2738
angles: 90.00 90.00 120.00
Closest atoms and distances in Å follow each position.
Fractional positions:
1 Ag 0.0000 0.0000 0.0000  8 Ag 3.14-3.27, 6 Sb 3.30
2 Ag 0.0000 0.0000 0.5000  8 Ag 3.14-3.27, 6 Sb 3.30
3 Ag 0.0000 0.3232 0.2500  5 Sb 2.89-3.14
4 Ag 0.0000 0.6768 0.7500  5 Sb 2.89-3.14
5 Ag 0.3232 0.0000 0.2500  5 Sb 2.89-3.14
6 Ag 0.3232 0.3232 0.7500  5 Sb 2.89-3.14
7 Ag 0.6768 0.0000 0.7500  5 Sb 2.89-3.14
8 Ag 0.6768 0.6768 0.2500  5 Sb 2.89-3.14
9 Sb 0.0000 0.3278 0.7500  5 Ag 2.89-3.14
10 Sb 0.0000 0.6722 0.2500  5 Ag 2.89-3.14
11 Sb 0.3278 0.0000 0.7500  5 Ag 2.89-3.14
12 Sb 0.3278 0.3278 0.2500  5 Ag 2.89-3.14
13 Sb 0.3333 0.6667 0.0000  8 Sb 3.14-3.37, 6 Ag 3.39
14 Sb 0.3333 0.6667 0.5000  8 Sb 3.14-3.37, 6 Ag 3.39
15 Sb 0.6667 0.3333 0.0000  8 Sb 3.14-3.37, 6 Ag 3.39
16 Sb 0.6667 0.3333 0.5000  8 Sb 3.14-3.37, 6 Ag 3.39
17 Sb 0.6722 0.0000 0.2500  5 Ag 2.89-3.14
18 Sb 0.6722 0.6722 0.7500  5 Ag 2.89-3.14